Density functional theory data (GGA-PBE) for a geometry-optimized Na6MgIn2 structure.

The energy comes out at -1.691 eV/atom. Its density of states at the Fermi level is 0.371 states/eV/atom. The polymorph energy (0 for the lowest one) is 0.000 eV/f.u. For the formation energy, the calculation gives -0.026 eV per atom.

The structure belongs to space group R-3m (No. 166, hexagonal axes); the cell edges are 9.6213, 9.6213 and 9.5005 Å and the angles 90.00°, 90.00° and 120.00°. The asymmetric unit holds Na at (0.0000, 0.3304, 0.0000), Mg at (0.0000, 0.0000, 0.5000) and In at (0.0000, 0.0000, 0.1706).

Density functional theory data (GGA-PBE) for a geometry-optimized Na6MgIn12 structure.

The energy comes out at -2.284 eV/atom. Its density of states at the Fermi level is 0.436 states/eV/atom. For the formation energy, the calculation gives -0.054 eV per atom.

The structure belongs to space group R-3 (No. 148, hexagonal axes); the cell edges are 11.7643, 11.7643 and 13.0445 Å and the angles 90.00°, 90.00° and 120.00°. The asymmetric unit holds Na at (0.0234, 0.4268, 0.2137), Mg at (0.0000, 0.0000, 0.5000), In at (0.0491, 0.1813, 0.3143) and In at (0.0545, 0.8674, 0.9031).

Question: The highest energy belongs to which entry?
Answer: Na6MgIn2

Question: Among the records above, which one has the highest energy?
Answer: Na6MgIn2